(1)
Here is crystalline Hg4Ir5 at its relaxed geometry from the Alexandria database. Energies are from PBE-GGA.

abc: 8.6946 8.6946 4.1664
angles: 90.00 90.00 90.00
Last column: nearest neighbours and their distance in Å.
Space group I4/mmm (No. 139)
Symmetry-distinct sites (fractional):
Hg (0.0000, 0.3219, 0.0000) [8 per cell]  7 Ir 2.80-3.02, 5 Hg 3.02-3.10
Ir (0.0000, 0.0000, 0.0000) [2 per cell]  4 Hg 2.80, 8 Ir 2.81
Ir (0.1536, 0.1536, 0.5000) [8 per cell]  4 Ir 2.67-2.81, 4 Hg 2.87

Summary:
DFT formation energy: 0.575 eV/atom
magnetization: 0.000 μB/f.u.

---

(2)
Here is crystalline HgIr at its relaxed geometry from the Alexandria database. Energies are from PBE-GGA.

abc: 5.3667 5.3667 5.4942
angles: 90.00 90.00 90.00
Last column: nearest neighbours and their distance in Å.
Space group P4_2/mnm (No. 136)
Symmetry-distinct sites (fractional):
Hg (0.1880, 0.1880, 0.0000) [4 per cell]  6 Ir 2.71-2.86, 1 Hg 2.85
Ir (0.1730, 0.1730, 0.5000) [4 per cell]  1 Ir 2.63, 6 Hg 2.71-2.86

Summary:
DFT formation energy: 0.977 eV/atom
magnetization: 0.057 μB/f.u.

---

no.,D(E_F) (states/eV per atom)
1,1.0330
2,1.5011